1.
# SrLiTiS2, optimized geometry, DFT PBE
# **Total DFT energy (no corrections)**: -21.6 eV/cell
# **Density**: 3.4 g/cm3
data_SrLiTiS2
_space_group_name_H-M_alt 'P 4/m m m'
_space_group_IT_number 123
_space_group_name_Hall '-P 4 2'
_cell_length_a 4.859
_cell_length_b 4.859
_cell_length_c 4.286
_cell_angle_alpha 90.00
_cell_angle_beta 90.00
_cell_angle_gamma 90.00
loop_
_atom_site_label
_atom_site_fract_x
_atom_site_fract_y
_atom_site_fract_z
Sr1 0.000 0.000 0.000
Li1 0.500 0.500 0.500
Ti1 0.500 0.500 0.000
S1 0.000 0.500 0.500

2.
# SrLi2TiS4, optimized geometry, DFT PBE
# **Total DFT energy (no corrections)**: -84.0 eV/cell
# **Density**: 2.6 g/cm3
data_SrLi2TiS4
_space_group_name_H-M_alt 'I -4 2 m'
_space_group_IT_number 121
_space_group_name_Hall 'I -4 2'
_cell_length_a 6.635
_cell_length_b 6.635
_cell_length_c 7.935
_cell_angle_alpha 90.00
_cell_angle_beta 90.00
_cell_angle_gamma 90.00
loop_
_atom_site_label
_atom_site_fract_x
_atom_site_fract_y
_atom_site_fract_z
Sr1 0.000 0.000 0.000
Li1 0.000 0.500 0.250
Ti1 0.000 0.000 0.500
S1 0.200 0.200 0.663

3.
# SrLiTl2S4, optimized geometry, DFT PBE
# **Total DFT energy (no corrections)**: -125.6 eV/cell
# **Density**: 5.6 g/cm3
data_SrLiTl2S4
_space_group_name_H-M_alt 'F m m 2'
_space_group_IT_number 42
_space_group_name_Hall 'F 2 -2'
_cell_length_a 8.244
_cell_length_b 11.033
_cell_length_c 8.267
_cell_angle_alpha 90.00
_cell_angle_beta 90.00
_cell_angle_gamma 90.00
loop_
_atom_site_label
_atom_site_fract_x
_atom_site_fract_y
_atom_site_fract_z
Sr1 0.000 0.000 0.000
Li1 0.000 0.000 0.533
Tl1 0.250 0.250 0.257
S1 0.000 0.232 0.496
S2 0.238 0.000 0.736

4.
# SrLiTm2S4, optimized geometry, DFT PBE
# **Total DFT energy (no corrections)**: -177.9 eV/cell
# **Density**: 5.4 g/cm3
data_SrLiTm2S4
_space_group_name_H-M_alt 'C m c m'
_space_group_IT_number 63
_space_group_name_Hall '-C 2c 2'
_cell_length_a 3.932
_cell_length_b 13.011
_cell_length_c 13.488
_cell_angle_alpha 90.00
_cell_angle_beta 90.00
_cell_angle_gamma 90.00
loop_
_atom_site_label
_atom_site_fract_x
_atom_site_fract_y
_atom_site_fract_z
Sr1 0.000 0.117 0.250
Li1 0.000 0.153 0.750
Tm1 0.000 0.372 0.056
S1 0.000 0.000 0.000
S2 0.000 0.268 0.616
S3 0.000 0.444 0.250

5.
# Sr2LiTmS4, optimized geometry, DFT PBE
# **Total DFT energy (no corrections)**: -41.8 eV/cell
# **Density**: 4.2 g/cm3
data_Sr2LiTmS4
_space_group_name_H-M_alt 'P 1 2/m 1'
_space_group_IT_number 10
_space_group_name_Hall '-P 2y'
_cell_length_a 7.014
_cell_length_b 4.082
_cell_length_c 7.014
_cell_angle_alpha 90.00
_cell_angle_beta 108.73
_cell_angle_gamma 90.00
loop_
_atom_site_label
_atom_site_fract_x
_atom_site_fract_y
_atom_site_fract_z
Sr1 0.000 0.000 0.000
Sr2 0.500 0.500 0.000
Li1 0.000 0.500 0.500
Tm1 0.500 0.000 0.500
S1 0.252 0.000 0.728
S2 0.263 0.500 0.278

6.
# SrLiTmS3, optimized geometry, DFT PBE
# **Total DFT energy (no corrections)**: -64.0 eV/cell
# **Density**: 4.4 g/cm3
data_SrLiTmS3
_space_group_name_H-M_alt 'P 1 21/m 1'
_space_group_IT_number 11
_space_group_name_Hall '-P 2yb'
_cell_length_a 8.270
_cell_length_b 3.969
_cell_length_c 8.613
_cell_angle_alpha 90.00
_cell_angle_beta 103.92
_cell_angle_gamma 90.00
loop_
_atom_site_label
_atom_site_fract_x
_atom_site_fract_y
_atom_site_fract_z
Sr1 0.191 0.250 0.237
Li1 0.086 0.250 0.588
Tm1 0.330 0.750 0.836
S1 0.114 0.250 0.868
S2 0.212 0.750 0.516
S3 0.442 0.750 0.163

7.
# Sr4LiTm3S8, optimized geometry, DFT PBE
# **Total DFT energy (no corrections)**: -260.8 eV/cell
# **Density**: 5.0 g/cm3
data_Sr4LiTm3S8
_space_group_name_H-M_alt 'R -3 m'
_space_group_IT_number 166
_space_group_name_Hall '-R 3 2"'
_cell_length_a 8.0491
_cell_length_b 8.0491
_cell_length_c 20.0251
_cell_angle_alpha 90.00
_cell_angle_beta 90.00
_cell_angle_gamma 120.00
loop_
_atom_site_label
_atom_site_fract_x
_atom_site_fract_y
_atom_site_fract_z
Sr1 0.0000 0.0000 0.0000
Sr2 0.0000 0.5000 0.0000
Li1 0.0000 0.0000 0.5000
Tm1 0.0000 0.5000 0.5000
S1 0.0000 0.0000 0.2414
S2 0.0035 0.5018 0.7591

8.
# SrLi2US4, optimized geometry, DFT PBE
# **Total DFT energy (no corrections)**: -90.6 eV/cell
# **Density**: 4.2 g/cm3
data_SrLi2US4
_space_group_name_H-M_alt 'C 1 2 1'
_space_group_IT_number 5
_space_group_name_Hall 'C 2y'
_cell_length_a 7.880
_cell_length_b 7.877
_cell_length_c 7.109
_cell_angle_alpha 90.00
_cell_angle_beta 123.62
_cell_angle_gamma 90.00
loop_
_atom_site_label
_atom_site_fract_x
_atom_site_fract_y
_atom_site_fract_z
Sr1 0.000 0.000 0.000
Li1 0.000 0.251 0.500
Li2 0.000 0.500 0.000
U1 0.000 0.750 0.500
S1 0.223 0.750 0.944
S2 0.246 0.501 0.491

9.
# Sr2LiUS5, optimized geometry, DFT PBE
# **Total DFT energy (no corrections)**: -208.6 eV/cell
# **Density**: 4.3 g/cm3
data_Sr2LiUS5
_space_group_name_H-M_alt 'C m c 21'
_space_group_IT_number 36
_space_group_name_Hall 'C 2c -2'
_cell_length_a 4.089
_cell_length_b 17.067
_cell_length_c 12.755
_cell_angle_alpha 90.00
_cell_angle_beta 90.00
_cell_angle_gamma 90.00
loop_
_atom_site_label
_atom_site_fract_x
_atom_site_fract_y
_atom_site_fract_z
Sr1 0.000 0.090 0.000
Sr2 0.000 0.120 0.639
Li1 0.000 0.442 0.774
U1 0.000 0.215 0.351
S1 0.000 0.070 0.380
S2 0.000 0.274 0.989
S3 0.000 0.297 0.718
S4 0.000 0.365 0.328
S5 0.000 0.500 0.106

10.
# Sr2LiUS6, optimized geometry, DFT PBE
# **Total DFT energy (no corrections)**: -111.6 eV/cell
# **Density**: 4.2 g/cm3
data_Sr2LiUS6
_space_group_name_H-M_alt 'P 1 21/c 1'
_space_group_IT_number 14
_space_group_name_Hall '-P 2ybc'
_cell_length_a 6.969
_cell_length_b 7.415
_cell_length_c 11.322
_cell_angle_alpha 90.00
_cell_angle_beta 123.57
_cell_angle_gamma 90.00
loop_
_atom_site_label
_atom_site_fract_x
_atom_site_fract_y
_atom_site_fract_z
Sr1 0.209 0.086 0.239
Li1 0.000 0.000 0.500
U1 0.500 0.000 0.000
S1 0.155 0.190 0.949
S2 0.264 0.711 0.947
S3 0.356 0.022 0.742

11.
# SrLiU2S6, optimized geometry, DFT PBE
# **Total DFT energy (no corrections)**: -196.0 eV/cell
# **Density**: 4.9 g/cm3
data_SrLiU2S6
_space_group_name_H-M_alt 'R 3'
_space_group_IT_number 146
_space_group_name_Hall 'R 3'
_cell_length_a 7.0028
_cell_length_b 7.0028
_cell_length_c 18.2082
_cell_angle_alpha 90.00
_cell_angle_beta 90.00
_cell_angle_gamma 120.00
loop_
_atom_site_label
_atom_site_fract_x
_atom_site_fract_y
_atom_site_fract_z
Sr1 0.0000 0.0000 0.0000
Li1 0.0000 0.0000 0.5254
U1 0.0000 0.0000 0.2129
U2 0.0000 0.0000 0.7195
S1 0.0455 0.3465 0.7933
S2 0.0802 0.7319 0.2926

12.
# Sr2LiUS4, optimized geometry, DFT PBE
# **Total DFT energy (no corrections)**: -46.5 eV/cell
# **Density**: 4.7 g/cm3
data_Sr2LiUS4
_space_group_name_H-M_alt 'P 1 2/m 1'
_space_group_IT_number 10
_space_group_name_Hall '-P 2y'
_cell_length_a 7.055
_cell_length_b 4.096
_cell_length_c 7.104
_cell_angle_alpha 90.00
_cell_angle_beta 109.05
_cell_angle_gamma 90.00
loop_
_atom_site_label
_atom_site_fract_x
_atom_site_fract_y
_atom_site_fract_z
Sr1 0.000 0.000 0.000
Sr2 0.500 0.500 0.000
Li1 0.000 0.500 0.500
U1 0.500 0.000 0.500
S1 0.250 0.000 0.728
S2 0.260 0.500 0.272

13.
# SrLiUS3, optimized geometry, DFT PBE
# **Total DFT energy (no corrections)**: -73.4 eV/cell
# **Density**: 5.1 g/cm3
data_SrLiUS3
_space_group_name_H-M_alt 'P 1 21/m 1'
_space_group_IT_number 11
_space_group_name_Hall '-P 2yb'
_cell_length_a 8.392
_cell_length_b 3.979
_cell_length_c 8.679
_cell_angle_alpha 90.00
_cell_angle_beta 103.58
_cell_angle_gamma 90.00
loop_
_atom_site_label
_atom_site_fract_x
_atom_site_fract_y
_atom_site_fract_z
Sr1 0.186 0.250 0.232
Li1 0.085 0.250 0.586
U1 0.335 0.750 0.840
S1 0.109 0.250 0.865
S2 0.209 0.750 0.514
S3 0.436 0.750 0.167

14.
# SrLiY2S4, optimized geometry, DFT PBE
# **Total DFT energy (no corrections)**: -194.5 eV/cell
# **Density**: 3.7 g/cm3
data_SrLiY2S4
_space_group_name_H-M_alt 'C m c m'
_space_group_IT_number 63
_space_group_name_Hall '-C 2c 2'
_cell_length_a 3.967
_cell_length_b 13.171
_cell_length_c 13.677
_cell_angle_alpha 90.00
_cell_angle_beta 90.00
_cell_angle_gamma 90.00
loop_
_atom_site_label
_atom_site_fract_x
_atom_site_fract_y
_atom_site_fract_z
Sr1 0.000 0.117 0.250
Li1 0.000 0.153 0.750
Y1 0.000 0.372 0.056
S1 0.000 0.000 0.000
S2 0.000 0.269 0.618
S3 0.000 0.444 0.250

15.
# Sr3LiY3S8, optimized geometry, DFT PBE
# **Total DFT energy (no corrections)**: -266.7 eV/cell
# **Density**: 3.5 g/cm3
data_Sr3LiY3S8
_space_group_name_H-M_alt 'R -3 m'
_space_group_IT_number 166
_space_group_name_Hall '-R 3 2"'
_cell_length_a 8.0298
_cell_length_b 8.0298
_cell_length_c 20.3949
_cell_angle_alpha 90.00
_cell_angle_beta 90.00
_cell_angle_gamma 120.00
loop_
_atom_site_label
_atom_site_fract_x
_atom_site_fract_y
_atom_site_fract_z
Sr1 0.0000 0.5000 0.0000
Li1 0.0000 0.0000 0.5000
Y1 0.0000 0.5000 0.5000
S1 0.0000 0.0000 0.2432
S2 0.0019 0.5010 0.7598

16.
# SrLi2Zr3S8, optimized geometry, DFT PBE
# **Total DFT energy (no corrections)**: -257.0 eV/cell
# **Density**: 3.2 g/cm3
data_SrLi2Zr3S8
_space_group_name_H-M_alt 'R 3 m'
_space_group_IT_number 160
_space_group_name_Hall 'R 3 -2"'
_cell_length_a 7.7227
_cell_length_b 7.7227
_cell_length_c 19.1358
_cell_angle_alpha 90.00
_cell_angle_beta 90.00
_cell_angle_gamma 120.00
loop_
_atom_site_label
_atom_site_fract_x
_atom_site_fract_y
_atom_site_fract_z
Sr1 0.0000 0.0000 0.0000
Li1 0.0000 0.0000 0.1652
Li2 0.0000 0.0000 0.5196
Zr1 0.1709 0.3418 0.3616
S1 0.0000 0.0000 0.2899
S2 0.0000 0.0000 0.7713
S3 0.0511 0.5256 0.2808
S4 0.1713 0.3427 0.1000

17.
# Li4TaS5, optimized geometry, DFT PBE
# **Total DFT energy (no corrections)**: -101.2 eV/cell
# **Density**: 3.5 g/cm3
data_Li4TaS5
_space_group_name_H-M_alt 'I 4'
_space_group_IT_number 79
_space_group_name_Hall 'I 4'
_cell_length_a 8.150
_cell_length_b 8.150
_cell_length_c 5.228
_cell_angle_alpha 90.00
_cell_angle_beta 90.00
_cell_angle_gamma 90.00
loop_
_atom_site_label
_atom_site_fract_x
_atom_site_fract_y
_atom_site_fract_z
Li1 0.101 0.696 0.000
Ta1 0.000 0.000 0.580
S1 0.000 0.000 0.017
S2 0.091 0.721 0.502

18.
# LiTa3S6, optimized geometry, DFT PBE
# **Total DFT energy (no corrections)**: -144.1 eV/cell
# **Density**: 6.7 g/cm3
data_LiTa3S6
_space_group_name_H-M_alt 'P 1 21/m 1'
_space_group_IT_number 11
_space_group_name_Hall '-P 2yb'
_cell_length_a 10.341
_cell_length_b 3.379
_cell_length_c 11.112
_cell_angle_alpha 90.00
_cell_angle_beta 108.49
_cell_angle_gamma 90.00
loop_
_atom_site_label
_atom_site_fract_x
_atom_site_fract_y
_atom_site_fract_z
Li1 0.227 0.250 0.148
Ta1 0.009 0.250 0.671
Ta2 0.376 0.250 0.471
Ta3 0.438 0.750 0.880
S1 0.020 0.750 0.831
S2 0.126 0.250 0.496
S3 0.240 0.750 0.317
S4 0.262 0.250 0.792
S5 0.375 0.750 0.075
S6 0.451 0.750 0.642

19.
# Li2TaS, optimized geometry, DFT PBE
# **Total DFT energy (no corrections)**: -79.7 eV/cell
# **Density**: 5.9 g/cm3
data_Li2TaS
_space_group_name_H-M_alt 'I -4 2 d'
_space_group_IT_number 122
_space_group_name_Hall 'I -4 2bw'
_cell_length_a 7.306
_cell_length_b 7.306
_cell_length_c 4.763
_cell_angle_alpha 90.00
_cell_angle_beta 90.00
_cell_angle_gamma 90.00
loop_
_atom_site_label
_atom_site_fract_x
_atom_site_fract_y
_atom_site_fract_z
Li1 0.185 0.250 0.125
Ta1 0.000 0.000 0.500
S1 0.000 0.000 0.000

20.
# Li2Ta4S7, optimized geometry, DFT PBE
# **Total DFT energy (no corrections)**: -91.4 eV/cell
# **Density**: 6.4 g/cm3
data_Li2Ta4S7
_space_group_name_H-M_alt 'P -1'
_space_group_IT_number 2
_space_group_name_Hall '-P 1'
_cell_length_a 5.932
_cell_length_b 6.005
_cell_length_c 7.660
_cell_angle_alpha 78.21
_cell_angle_beta 87.20
_cell_angle_gamma 69.18
loop_
_atom_site_label
_atom_site_fract_x
_atom_site_fract_y
_atom_site_fract_z
Li1 0.179 0.259 0.064
Ta1 0.123 0.245 0.498
Ta2 0.482 0.445 0.329
S1 0.052 0.600 0.241
S2 0.112 0.859 0.710
S3 0.470 0.842 0.371
S4 0.500 0.500 0.000